Entry 1:
Density functional theory data (PBE) for an optimized crystal structure of Ce2CdAg.

Summary:
V in Å³/cell: 98.0
Final energy in eV per atom: -4.031
Crystal system: orthorhombic
Calculated formation energy in eV per formula unit: -0.49
Space group: No. 47

a = 4.788 Å, b = 7.171 Å, c = 6.423 Å
α = 26.37°, β = 90.00°, γ = 90.00°
Positions (direct):
Ce 0.613 0.635 0.542
Ce 0.612 0.635 0.099
Cd 0.112 0.135 0.321
Ag 0.112 0.135 0.821



Entry 2:
Density functional theory data (PBE) for an optimized crystal structure of Ce3Cd4Ag4.

Summary:
V in Å³/cell: 257.7
Final energy in eV per atom: -3.089
Energy relative to the lowest polymorph listed for this composition in meV/atom: 40.5
Crystal system: orthorhombic
Calculated formation energy in eV per formula unit: -1.11
Space group: No. 38

a = 5.015 Å, b = 6.078 Å, c = 9.280 Å
α = 90.00°, β = 90.00°, γ = 114.37°
Positions (direct):
Ce 0.404 0.807 0.271
Ce 0.404 0.807 0.729
Ce 0.261 0.523 0.000
Cd 0.635 0.270 0.500
Cd 0.572 0.143 0.000
Cd 0.098 0.197 0.707
Cd 0.098 0.197 0.293
Ag 0.742 0.485 0.773
Ag 0.742 0.485 0.227
Ag 0.903 0.805 0.500
Ag 0.939 0.877 0.000



Entry 3:
Density functional theory data (PBE) for an optimized crystal structure of CeCd8Ag4.

Summary:
V in Å³/cell: 280.6
Final energy in eV per atom: -2.008
Crystal system: tetragonal
Calculated formation energy in eV per formula unit: -1.44
Space group: No. 139

a = 5.625 Å, b = 7.602 Å, c = 7.602 Å
α = 82.13°, β = 68.29°, γ = 68.29°
Positions (direct):
Ce 0.000 0.000 0.000
Cd 0.000 0.345 0.655
Cd 0.000 0.655 0.345
Cd 0.345 0.655 0.655
Cd 0.655 0.345 0.345
Cd 0.500 0.787 0.213
Cd 0.500 0.213 0.787
Cd 0.287 0.213 0.213
Cd 0.713 0.787 0.787
Ag 0.000 0.000 0.500
Ag 0.500 0.000 0.500
Ag 0.000 0.500 0.000
Ag 0.500 0.500 0.000



Entry 4:
Density functional theory data (PBE) for an optimized crystal structure of CeCd4Ag2.

Summary:
V in Å³/cell: 155.3
Final energy in eV per atom: -2.320
Energy relative to the lowest polymorph listed for this composition in meV/atom: 0.0
Crystal system: monoclinic
Calculated formation energy in eV per formula unit: -0.95
Space group: No. 12

a = 5.621 Å, b = 5.948 Å, c = 5.948 Å
α = 77.55°, β = 62.11°, γ = 62.11°
Positions (direct):
Ag 0.751 0.499 0.499
Ag 0.249 0.501 0.501
Ce 0.000 0.000 0.000
Cd 0.695 0.611 0.000
Cd 0.305 0.389 0.000
Cd 0.695 0.000 0.611
Cd 0.305 0.000 0.389



Entry 5:
Density functional theory data (PBE) for an optimized crystal structure of Ce2Cd5Ag.

Summary:
V in Å³/cell: 409.8
Final energy in eV per atom: -2.539
Crystal system: orthorhombic
Calculated formation energy in eV per formula unit: -1.02
Space group: No. 63

a = 4.623 Å, b = 9.141 Å, c = 10.022 Å
α = 90.00°, β = 90.00°, γ = 104.65°
Positions (direct):
Ce 0.810 0.620 0.750
Ce 0.190 0.380 0.250
Ce 0.000 0.000 0.000
Ce 0.000 0.000 0.500
Cd 0.196 0.391 0.895
Cd 0.804 0.609 0.105
Cd 0.196 0.391 0.605
Cd 0.804 0.609 0.395
Cd 0.358 0.716 0.970
Cd 0.642 0.284 0.030
Cd 0.358 0.716 0.530
Cd 0.642 0.284 0.470
Cd 0.606 0.212 0.750
Cd 0.394 0.788 0.250
Ag 0.452 0.904 0.750
Ag 0.548 0.096 0.250



Entry 6:
Density functional theory data (PBE) for an optimized crystal structure of CeCd4Ag2.

Summary:
V in Å³/cell: 163.1
Final energy in eV per atom: -2.305
Energy relative to the lowest polymorph listed for this composition in meV/atom: 15.0
Crystal system: trigonal
Calculated formation energy in eV per formula unit: -0.84
Space group: No. 166

a = 4.923 Å, b = 4.923 Å, c = 8.272 Å
α = 72.69°, β = 72.69°, γ = 60.00°
Positions (direct):
Ce 0.000 0.000 0.000
Cd 0.409 0.409 0.773
Cd 0.138 0.138 0.585
Cd 0.591 0.591 0.227
Cd 0.862 0.862 0.415
Ag 0.262 0.262 0.213
Ag 0.738 0.738 0.787